K2CuPtAu PBE optimized geometry; E_form = 254.4 kJ/mol of formula units
1.0
6.134 0.000 0.000
0.000 6.134 0.000
0.000 0.000 4.845
K Cu Pt Au
2 1 1 1
Direct
0.000 0.500 0.000
0.500 0.000 0.000
0.000 0.000 0.500
0.500 0.500 0.500
0.000 0.000 0.000



K2RbCuAu PBE optimized geometry; E_form = 40.9 kJ/mol of formula units
1.0
6.492 0.000 0.000
0.000 6.492 0.000
0.000 0.000 5.088
K Rb Cu Au
2 1 1 1
Direct
0.000 0.500 0.000
0.500 0.000 0.000
0.000 0.000 0.500
0.500 0.500 0.500
0.500 0.500 0.000



K2RbCuAu PBE optimized geometry; E_form = 43.9 kJ/mol of formula units
1.0
6.365 0.000 0.000
0.000 6.365 0.000
0.000 0.000 5.058
K Rb Cu Au
2 1 1 1
Direct
0.000 0.500 0.000
0.500 0.000 0.000
0.000 0.000 0.500
0.500 0.500 0.000
0.500 0.500 0.500



KCuAuS2 PBE optimized geometry; energy relative to the elements, uncorrected = -45 kJ/mol of atoms
1.0
6.771 0.000 0.000
0.000 5.360 0.000
-1.592 0.000 6.589
K Cu Au S
2 2 2 4
Direct
0.000 0.203 0.250
0.000 0.797 0.750
0.500 0.492 0.250
0.500 0.508 0.750
0.500 0.000 0.000
0.500 0.000 0.500
0.286 0.344 0.948
0.286 0.656 0.448
0.714 0.344 0.552
0.714 0.656 0.052



KCuAuS PBE optimized geometry; energy relative to the elements, uncorrected = -46 kJ/mol of atoms
1.0
3.882 0.000 0.000
0.000 3.882 0.000
0.000 0.000 12.021
K Cu Au S
2 2 2 2
Direct
0.250 0.250 0.248
0.750 0.750 0.752
0.250 0.750 0.500
0.750 0.250 0.500
0.250 0.750 0.000
0.750 0.250 0.000
0.250 0.250 0.614
0.750 0.750 0.386



KCuSbAu2 PBE optimized geometry; energy relative to the elements, uncorrected = 53 kJ/mol of atoms
1.0
5.181 0.000 0.000
0.000 5.181 0.000
0.000 0.000 6.894
K Cu Sb Au
1 1 1 2
Direct
0.000 0.000 0.000
0.500 0.500 0.000
0.000 0.000 0.500
0.000 0.500 0.500
0.500 0.000 0.500



KScCuAu2 PBE optimized geometry; E_form = 63.3 kJ/mol of formula units
1.0
5.329 0.000 0.000
0.000 5.329 0.000
0.000 0.000 5.116
K Sc Cu Au
1 1 1 2
Direct
0.000 0.000 0.000
0.500 0.500 0.500
0.500 0.500 0.000
0.000 0.500 0.500
0.500 0.000 0.500



KScCuAu2 PBE optimized geometry; E_form = 350.4 kJ/mol of formula units
1.0
5.173 0.000 0.000
0.000 5.173 0.000
0.000 0.000 6.871
K Sc Cu Au
1 1 1 2
Direct
0.000 0.000 0.000
0.000 0.000 0.500
0.500 0.500 0.000
0.000 0.500 0.500
0.500 0.000 0.500



KCuAuSe PBE optimized geometry; energy relative to the elements, uncorrected = -43 kJ/mol of atoms
1.0
3.946 0.000 0.000
0.000 3.946 0.000
0.000 0.000 12.393
K Cu Au Se
2 2 2 2
Direct
0.250 0.250 0.236
0.750 0.750 0.764
0.250 0.750 0.500
0.750 0.250 0.500
0.250 0.750 0.000
0.750 0.250 0.000
0.250 0.250 0.622
0.750 0.750 0.378



K2CuSiAu6 PBE optimized geometry; energy relative to the elements, uncorrected = -23 kJ/mol of atoms
1.0
6.770 0.000 0.000
3.382 5.882 0.000
3.381 1.949 5.990
K Cu Si Au
2 1 1 6
Direct
0.209 0.209 0.371
0.791 0.791 0.629
0.500 0.500 0.500
0.000 0.000 0.000
0.247 0.247 0.841
0.248 0.665 0.841
0.335 0.752 0.159
0.665 0.248 0.841
0.752 0.335 0.159
0.753 0.753 0.159



KCuSiAu2 PBE optimized geometry; energy relative to the elements, uncorrected = -7 kJ/mol of atoms
1.0
4.939 0.000 0.000
0.000 4.939 0.000
0.000 0.000 4.663
K Cu Si Au
1 1 1 2
Direct
0.000 0.000 0.000
0.500 0.500 0.000
0.500 0.500 0.500
0.000 0.500 0.500
0.500 0.000 0.500



KCuTe6Au PBE optimized geometry; energy relative to the elements, uncorrected = -12 kJ/mol of atoms
1.0
-4.484 4.885 6.865
4.484 -4.885 6.865
4.484 4.885 -6.865
K Cu Te Au
2 2 12 2
Direct
0.393 0.143 0.250
0.607 0.857 0.750
0.000 0.000 0.500
0.000 0.500 0.000
0.109 0.396 0.229
0.109 0.881 0.714
0.128 0.878 0.250
0.333 0.119 0.729
0.333 0.604 0.214
0.345 0.595 0.750
0.655 0.405 0.250
0.667 0.396 0.786
0.667 0.881 0.271
0.872 0.122 0.750
0.891 0.119 0.286
0.891 0.604 0.771
0.000 0.500 0.500
0.500 0.500 0.000



| no. | E_tot (eV per atom) |
| --- | --- |
| 1 | -2.59 |
| 2 | -2.02 |
| 3 | -2.02 |
| 4 | -3.81 |
| 5 | -3.63 |
| 6 | -2.63 |
| 7 | -3.48 |
| 8 | -2.89 |
| 9 | -3.44 |
| 10 | -3.38 |
| 11 | -3.51 |
| 12 | -3.16 |